# 1
Material: Nd2ThPb
Method: DFT, PBE
State: optimized geometry

Values from the calculation:
Raw total energy ... -5.364 eV per atom
Formation energy from the elements ... -0.198 eV per atom

a = 4.1121 Å, b = 4.1121 Å, c = 7.3830 Å
α = 90.00°, β = 90.00°, γ = 90.00°
Closest atoms and distances in Å follow each position.
Fractional positions:
Th1 0.5000 0.5000 0.5000  8 Nd 3.55, 2 Pb 3.69
Nd1 0.0000 0.0000 0.2244  1 Nd 3.31, 4 Pb 3.35, 4 Th 3.55
Nd2 0.0000 0.0000 0.7756  1 Nd 3.31, 4 Pb 3.35, 4 Th 3.55
Pb1 0.5000 0.5000 0.0000  8 Nd 3.35, 2 Th 3.69


# 2
Material: La2TmSb
Method: DFT, PBE
State: optimized geometry

Values from the calculation:
Raw total energy ... -4.933 eV per atom
Formation energy (no corrections) ... -0.3206 eV/atom

a = 5.6044 Å, b = 5.6044 Å, c = 5.6037 Å
α = 60.00°, β = 60.00°, γ = 60.00°
Closest atoms and distances in Å follow each position.
Fractional positions:
La1 0.2501 0.2501 0.2498  4 Tm 3.43, 4 Sb 3.43
La2 0.7499 0.7499 0.7502  4 Tm 3.43, 4 Sb 3.43
Sb1 0.0000 0.0000 0.0000  8 La 3.43
Tm1 0.5000 0.5000 0.5000  8 La 3.43